# PmSm6Y2Ho3 (PBE-GGA, relaxed)
# DFT formation energy	14.2	meV per atom
data_PmSm6Y2Ho3
_cell_length_a 6.234
_cell_length_b 10.793
_cell_length_c 11.877
_cell_angle_alpha 90.00
_cell_angle_beta 100.04
_cell_angle_gamma 90.00
_space_group_name_H-M_alt 'C 1 2/m 1'
_space_group_IT_number 12
_space_group_name_Hall '-C 2y'
loop_
_atom_site_label
_atom_site_fract_x
_atom_site_fract_y
_atom_site_fract_z
_atom_site_occupancy
Pm1 0.000 0.000 0.000 1
Sm1 0.249 0.000 0.748 1
Sm2 0.249 0.333 0.748 1
Y1 0.000 0.333 0.000 1
Ho1 0.000 0.167 0.500 1
Ho2 0.000 0.500 0.500 1

***

# BaSbP2 (PBE-GGA, relaxed)
# ΔE_f (raw)	-0.06	eV per atom
data_BaSbP2
_cell_length_a 4.927
_cell_length_b 4.927
_cell_length_c 4.128
_cell_angle_alpha 90.00
_cell_angle_beta 90.00
_cell_angle_gamma 90.00
_space_group_name_H-M_alt 'P 4/m m m'
_space_group_IT_number 123
_space_group_name_Hall '-P 4 2'
loop_
_atom_site_label
_atom_site_fract_x
_atom_site_fract_y
_atom_site_fract_z
_atom_site_occupancy
Ba1 0.000 0.000 0.000 1
Sb1 0.500 0.500 0.000 1
P1 0.000 0.500 0.500 1

***

no.,volume (Å³ per atom)
1,32.79
2,25.05